SbWNO2 | PBE with a Hubbard U | relaxed

Structure (POSCAR):
```
SbWNO2
1.0
3.988 0.000 0.000
0.000 3.988 0.000
0.000 0.000 4.128
O N Sb W
2 1 1 1
Direct
0.000 0.500 0.000 O
0.500 0.000 0.000 O
0.000 0.000 0.500 N
0.500 0.500 0.500 Sb
0.000 0.000 0.000 W
```

Results
Its space group is P4/mmm (123). The calculation puts the uncorrected energy at -32.0 eV/cell.